The following is a DFT calculation (PBE-GGA) of a relaxed structure of Th2TePRh6.

```
Th2TePRh6
1.0
5.603 0.000 0.000
0.000 8.163 0.000
0.000 0.000 8.584
Th Te P Rh
4 2 2 12
direct
0.500 0.743 0.237 Th
0.000 0.257 0.737 Th
0.500 0.743 0.763 Th
0.000 0.257 0.263 Th
0.000 0.717 0.500 Te
0.500 0.283 0.000 Te
0.500 0.232 0.500 P
0.000 0.768 0.000 P
0.500 0.106 0.252 Rh
0.500 0.106 0.748 Rh
0.000 0.894 0.248 Rh
0.000 0.894 0.752 Rh
0.249 0.002 0.500 Rh
0.751 0.002 0.500 Rh
0.255 0.456 0.500 Rh
0.745 0.456 0.500 Rh
0.755 0.544 0.000 Rh
0.245 0.544 0.000 Rh
0.251 0.998 0.000 Rh
0.749 0.998 0.000 Rh
```

Values from the calculation:
SG: Pmmn (59)
Final energy, eV/cell: -150.26
Crystal system: orthorhombic
DOS(E_F), states/eV per atom: 0.53

The following is a DFT calculation (PBE-GGA) of a relaxed structure of Th8Te4PRh3.

```
Th8Te4PRh3
1.0
8.438 0.000 0.000
0.000 8.944 0.350
-4.219 -4.214 5.970
Th Te P Rh
8 4 1 3
direct
0.238 0.710 0.972 Th
0.238 0.710 0.475 Th
0.266 0.299 0.533 Th
0.735 0.710 0.972 Th
0.265 0.290 0.028 Th
0.734 0.701 0.467 Th
0.762 0.290 0.525 Th
0.762 0.290 0.028 Th
0.500 0.000 0.000 Te
0.500 0.000 0.500 Te
0.000 0.000 0.000 Te
0.000 0.000 0.500 Te
0.000 0.500 0.000 P
0.500 0.500 0.000 Rh
0.500 0.500 0.500 Rh
0.000 0.500 0.500 Rh
```

Values from the calculation:
SG: R-3m (166)
Final energy, eV/cell: -116.75
Crystal system: trigonal
DOS(E_F), states/eV per atom: 0.95

The following is a DFT calculation (PBE-GGA) of a relaxed structure of V2TePRh.

```
V2TePRh
1.0
-1.575 -4.401 1.751
1.344 -2.115 -4.107
4.527 -0.855 1.921
P Te Rh V
1 1 1 2
direct
0.500 0.500 0.500 P
0.000 0.000 0.000 Te
0.000 0.500 0.000 Rh
0.000 0.000 0.500 V
0.500 0.000 0.000 V
```

Values from the calculation:
SG: P4/mmm (123)
Final energy, eV/cell: -27.96
Crystal system: tetragonal
DOS(E_F), states/eV per atom: 1.54

The following is a DFT calculation (PBE-GGA) of a relaxed structure of Y6Te3PRh2.

```
Y6Te3PRh2
1.0
7.202 -0.002 -0.006
-3.601 6.237 -0.006
-1.207 -2.089 7.139
Y Te P Rh
6 3 1 2
direct
0.931 0.596 0.791 Y
0.736 0.736 0.210 Y
0.069 0.404 0.209 Y
0.596 0.931 0.791 Y
0.264 0.264 0.790 Y
0.404 0.069 0.209 Y
0.166 0.834 0.500 Te
0.834 0.166 0.500 Te
0.500 0.500 0.500 Te
0.000 0.000 0.000 P
0.333 0.667 0.000 Rh
0.667 0.333 0.000 Rh
```

Values from the calculation:
SG: C2/m (12)
Final energy, eV/cell: -82.46
Crystal system: monoclinic
DOS(E_F), states/eV per atom: 0.62

The following is a DFT calculation (PBE-GGA) of a relaxed structure of Th2P2Rh5.

```
Th2P2Rh5
1.0
-2.492 2.942 1.573
0.344 -1.726 3.773
7.077 5.094 1.686
Th P Rh
2 2 5
direct
0.000 0.000 0.000 Th
0.000 0.000 0.500 Th
0.500 0.500 0.132 P
0.500 0.500 0.868 P
0.500 0.000 0.258 Rh
0.500 0.000 0.742 Rh
0.000 0.500 0.258 Rh
0.000 0.500 0.742 Rh
0.500 0.500 0.500 Rh
```

Values from the calculation:
SG: P4/mmm (123)
Formation enthalpy at 0 K, eV/atom: -1.064
Crystal system: tetragonal
DOS(E_F), states/eV per atom: 0.51

The following is a DFT calculation (PBE-GGA) of a relaxed structure of Th3P2Rh7.

```
Th3P2Rh7
1.0
3.992 0.002 -0.921
-0.002 4.085 -0.001
-1.044 0.007 13.693
Th P Rh
3 2 7
direct
0.335 0.500 0.043 Th
0.405 0.501 0.614 Th
0.682 0.499 0.391 Th
0.932 0.000 0.140 P
0.152 0.000 0.861 P
0.522 0.000 0.230 Rh
0.194 0.999 0.403 Rh
0.756 0.000 0.964 Rh
0.553 0.001 0.761 Rh
0.068 0.500 0.776 Rh
0.022 0.500 0.230 Rh
0.878 0.001 0.586 Rh
```

Values from the calculation:
SG: Pmm2 (25)
Formation enthalpy at 0 K, eV/atom: -0.972
Crystal system: orthorhombic
ΔE to the lowest computed polymorph, meV/atom: 29
DOS(E_F), states/eV per atom: 0.36

The following is a DFT calculation (PBE-GGA) of a relaxed structure of Th2PRh6.

```
Th2PRh6
1.0
5.246 0.003 3.028
1.747 4.946 3.028
0.002 0.001 6.056
Th P Rh
2 1 6
direct
0.250 0.250 0.250 Th
0.750 0.750 0.750 Th
0.500 0.500 0.500 P
0.236 0.236 0.763 Rh
0.236 0.763 0.236 Rh
0.764 0.237 0.764 Rh
0.763 0.236 0.236 Rh
0.237 0.764 0.764 Rh
0.764 0.764 0.237 Rh
```

Values from the calculation:
SG: Fm-3m (225)
Formation enthalpy at 0 K, eV/atom: -0.981
Crystal system: cubic
DOS(E_F), states/eV per atom: 0.73

The following is a DFT calculation (PBE-GGA) of a relaxed structure of ThPRh2.

```
ThPRh2
1.0
3.889 0.000 0.000
0.000 4.454 0.157
0.000 -0.989 4.382
Th P Rh
1 1 2
direct
0.500 0.500 0.000 Th
0.500 0.000 0.500 P
0.000 0.197 0.299 Rh
0.000 0.803 0.701 Rh
```

Values from the calculation:
SG: P2/m (10)
Formation enthalpy at 0 K, eV/atom: -0.734
Crystal system: monoclinic
DOS(E_F), states/eV per atom: 0.80

The following is a DFT calculation (PBE-GGA) of a relaxed structure of Th3P6Rh20.

```
Th3P6Rh20
1.0
-8.334 -1.958 -0.424
-2.433 -8.066 -1.577
-3.625 -4.674 6.203
Th P Rh
3 6 20
direct
0.750 0.750 0.750 Th
0.250 0.250 0.250 Th
0.000 0.000 0.000 Th
0.271 0.729 0.729 P
0.729 0.271 0.271 P
0.271 0.271 0.729 P
0.729 0.271 0.729 P
0.271 0.729 0.271 P
0.729 0.729 0.271 P
0.384 0.384 0.849 Rh
0.151 0.616 0.616 Rh
0.658 0.000 0.000 Rh
0.658 0.342 0.000 Rh
0.000 0.000 0.658 Rh
0.384 0.849 0.384 Rh
0.000 0.342 0.658 Rh
0.658 0.000 0.342 Rh
0.000 0.658 0.000 Rh
0.000 0.000 0.342 Rh
0.342 0.000 0.658 Rh
0.000 0.342 0.000 Rh
0.342 0.658 0.000 Rh
0.342 0.000 0.000 Rh
0.384 0.384 0.384 Rh
0.616 0.616 0.151 Rh
0.616 0.616 0.616 Rh
0.616 0.151 0.616 Rh
0.849 0.384 0.384 Rh
0.000 0.658 0.342 Rh
```

Values from the calculation:
SG: Fm-3m (225)
Formation enthalpy at 0 K, eV/atom: -0.735
Crystal system: cubic
DOS(E_F), states/eV per atom: 1.00

The following is a DFT calculation (PBE-GGA) of a relaxed structure of Th2PRh.

```
Th2PRh
1.0
3.950 0.000 0.000
1.975 3.421 0.000
1.975 1.140 7.423
Th P Rh
2 1 1
direct
0.082 0.082 0.754 Th
0.251 0.251 0.246 Th
0.668 0.668 0.997 P
0.499 0.499 0.503 Rh
```

Values from the calculation:
SG: R3m (160)
Formation enthalpy at 0 K, eV/atom: -0.997
Crystal system: trigonal
DOS(E_F), states/eV per atom: 0.63

The following is a DFT calculation (PBE-GGA) of a relaxed structure of ThP3Rh3.

```
ThP3Rh3
1.0
-4.743 3.484 2.503
-3.533 -1.057 -5.225
-2.433 -5.258 2.709
P Rh Th
6 6 2
direct
0.250 0.000 0.500 P
0.000 0.500 0.250 P
0.500 0.750 0.000 P
0.750 0.000 0.500 P
0.000 0.500 0.750 P
0.500 0.250 0.000 P
0.000 0.250 0.500 Rh
0.000 0.750 0.500 Rh
0.500 0.000 0.750 Rh
0.750 0.500 0.000 Rh
0.500 0.000 0.250 Rh
0.250 0.500 0.000 Rh
0.500 0.500 0.500 Th
0.000 0.000 0.000 Th
```

Values from the calculation:
SG: Pm-3n (223)
Formation enthalpy at 0 K, eV/atom: -0.668
Crystal system: cubic
DOS(E_F), states/eV per atom: 0.78

The following is a DFT calculation (PBE-GGA) of a relaxed structure of ThPRh.

```
ThPRh
1.0
-2.226 2.932 1.386
-1.834 -2.525 2.395
4.888 0.555 1.097
P Rh Th
1 1 1
direct
0.970 0.970 0.940 P
0.249 0.249 0.498 Rh
0.631 0.631 0.262 Th
```

Values from the calculation:
SG: I4mm (107)
Formation enthalpy at 0 K, eV/atom: -0.717
Crystal system: tetragonal
DOS(E_F), states/eV per atom: 0.39

no.,calculated volume (Å³ per atom),M_tot (μB/atom)
1,19.63,0.00
2,28.94,0.00
3,23.97,0.97
4,26.70,0.00
5,17.11,0.00
6,18.28,0.00
7,17.45,0.00
8,19.13,0.00
9,15.35,0.00
10,25.08,0.00
11,18.68,0.00
12,21.68,0.00